1.
# CdNi2F SCAN single point on PBEsol structure
data_CdNi2F
_symmetry_space_group_name_H-M 'F m -3 m'
_symmetry_Int_Tables_number 225
_symmetry_space_group_name_Hall '-F 4 2 3'
_cell_length_a 5.894
_cell_length_b 5.894
_cell_length_c 5.894
_cell_angle_alpha 90.00
_cell_angle_beta 90.00
_cell_angle_gamma 90.00
loop_
_atom_site_label
_atom_site_fract_x
_atom_site_fract_y
_atom_site_fract_z
Cd1 0.000 0.000 0.000
Ni1 0.250 0.250 0.250
F1 0.000 0.000 0.500
# Raw total energy in eV per atom: -16.434



2.
# CdOF2 SCAN single point on PBEsol structure
data_CdOF2
_symmetry_space_group_name_H-M 'R -3 m'
_symmetry_Int_Tables_number 166
_symmetry_space_group_name_Hall '-R 3 2"'
_cell_length_a 3.2157
_cell_length_b 3.2157
_cell_length_c 22.7939
_cell_angle_alpha 90.00
_cell_angle_beta 90.00
_cell_angle_gamma 120.00
loop_
_atom_site_label
_atom_site_fract_x
_atom_site_fract_y
_atom_site_fract_z
Cd1 0.0000 0.0000 0.0000
O1 0.0000 0.0000 0.5000
F1 0.0000 0.0000 0.0855
# Raw total energy in eV per atom: -11.115



3.
# Cd2PO4F SCAN single point on PBEsol structure
data_Cd2PO4F
_symmetry_space_group_name_H-M 'C 1 2/c 1'
_symmetry_Int_Tables_number 15
_cell_length_a 13.961
_cell_length_b 6.714
_cell_length_c 10.604
_cell_angle_alpha 90.00
_cell_angle_beta 121.45
_cell_angle_gamma 90.00
loop_
_symmetry_equiv_pos_as_xyz
'x,y,z'
'-x,-y,-z'
'-x,y,-z+1/2'
'x,-y,z+1/2'
'x+1/2,y+1/2,z'
'-x+1/2,-y+1/2,-z'
'-x+1/2,y+1/2,-z+1/2'
'x+1/2,-y+1/2,z+1/2'
loop_
_atom_site_label
_atom_site_fract_x
_atom_site_fract_y
_atom_site_fract_z
Cd1 0.053 0.240 0.487
Cd2 0.158 0.402 0.847
P1 0.176 0.088 0.306
O1 0.088 0.031 0.144
O2 0.132 0.272 0.350
O3 0.192 0.083 0.913
O4 0.212 0.360 0.683
F1 0.013 0.419 0.890
# Raw total energy in eV per atom: -14.627



Number 1: D(E_F) 0.6967 states/eV/atom, ΔE_f (raw) 141 meV/atom. Number 2: D(E_F) 0.2289 states/eV/atom, ΔE_f (raw) -183 meV/atom. Number 3: D(E_F) 0.0000 states/eV/atom, ΔE_f (raw) -2165 meV/atom.